Entry 1:
Computed, not measured: an optimized crystal structure of ZrZn2 at the GGA-PBEsol level of DFT. Values from VASP.

```
&SYSTEM
  ibrav = 0, nat = 6, ntyp = 2
/
ATOMIC_SPECIES
Zr 91.22 Zr.upf
Zn 65.41 Zn.upf
ATOMIC_POSITIONS crystal
Zr 0.000 0.000 0.000
Zr 0.500 0.500 0.500
Zn 0.000 0.000 0.319
Zn 0.000 0.000 0.681
Zn 0.500 0.500 0.181
Zn 0.500 0.500 0.819
CELL_PARAMETERS angstrom
2.850 0.000 0.000
0.000 3.100 0.000
0.000 0.000 11.055
```

- DFT formation energy (eV/atom) = -0.24

=====

Entry 2:
Computed, not measured: an optimized crystal structure of NbAlZn2O at the GGA-PBEsol level of DFT. Values from VASP.

```
&SYSTEM
  ibrav = 0, nat = 5, ntyp = 4
/
ATOMIC_SPECIES
Nb 92.91 Nb.upf
Al 26.98 Al.upf
Zn 65.41 Zn.upf
O 16.00 O.upf
ATOMIC_POSITIONS crystal
Nb 0.000 0.000 0.000
Al 0.000 0.000 0.500
Zn 0.000 0.500 0.000
Zn 0.500 0.000 0.000
O 0.500 0.500 0.500
CELL_PARAMETERS angstrom
4.962 0.000 0.000
0.000 4.962 0.000
0.000 0.000 5.127
```

- formation energy from raw total energies (meV per atom) = 1560

=====

Entry 3:
Computed, not measured: an optimized crystal structure of Ba2LaGeBr at the GGA-PBEsol level of DFT. Values from VASP.

```
&SYSTEM
  ibrav = 0, nat = 5, ntyp = 4
/
ATOMIC_SPECIES
Ba 137.33 Ba.upf
La 138.91 La.upf
Ge 72.64 Ge.upf
Br 79.90 Br.upf
ATOMIC_POSITIONS crystal
Ba 0.000 0.500 0.000
Ba 0.500 0.000 0.000
La 0.000 0.000 0.500
Ge 0.500 0.500 0.000
Br 0.500 0.500 0.500
CELL_PARAMETERS angstrom
6.374 0.000 0.000
0.000 6.374 0.000
0.000 0.000 5.426
```

- formation energy from raw total energies (meV per atom) = 151

=====

Entry 4:
Computed, not measured: an optimized crystal structure of LiInAg2 at the GGA-PBEsol level of DFT. Values from VASP.

```
&SYSTEM
  ibrav = 0, nat = 12, ntyp = 3
/
ATOMIC_SPECIES
Li 6.94 Li.upf
In 114.82 In.upf
Ag 107.87 Ag.upf
ATOMIC_POSITIONS crystal
Li 0.000 0.000 0.000
Li 0.333 0.667 0.667
Li 0.667 0.333 0.333
In 0.000 0.000 0.500
In 0.333 0.667 0.167
In 0.667 0.333 0.833
Ag 0.000 0.000 0.255
Ag 0.000 0.000 0.745
Ag 0.333 0.667 0.412
Ag 0.333 0.667 0.922
Ag 0.667 0.333 0.078
Ag 0.667 0.333 0.588
CELL_PARAMETERS angstrom
2.989 0.000 0.000
-1.495 2.589 0.000
0.000 0.000 27.809
```

- DFT formation energy (eV/atom) = -0.05

=====

Asked for total magnetization across the records above, the calculation gives 0.0000, 0.4484, 0.5632, 0.0001 μB per atom in order.